PmTm2Zn3, relaxed, DFT PBE-GGA; density of states at the Fermi level = 1.100 states/eV per atom; space-group type = P4/mmm (123); uncorrected energy = -19.5 eV per cell
1.0
3.5623 0.0000 0.0000
0.0000 3.5623 0.0000
0.0000 0.0000 10.7384
Pm Zn Tm
1 3 2
Direct
0.5000 0.5000 0.5000
0.0000 0.0000 0.3190
0.0000 0.0000 0.0000
0.0000 0.0000 0.6810
0.5000 0.5000 0.8374
0.5000 0.5000 0.1626

Pm2TmZn, relaxed, DFT PBE-GGA; density of states at the Fermi level = 1.454 states/eV per atom; space-group type = R3m (160); uncorrected energy = -15.3 eV per cell
1.0
3.6390 0.0000 0.0000
1.8195 3.1515 0.0000
1.8195 1.0505 10.3839
Zn Pm Tm
1 2 1
Direct
0.6665 0.6665 0.0004
0.2594 0.2594 0.2219
0.0741 0.0741 0.7776
0.5000 0.5000 0.5001

Pm3TmZn, relaxed, DFT PBE-GGA; density of states at the Fermi level = 1.577 states/eV per atom; space-group type = C2/m (12); uncorrected energy = -39.4 eV per cell
1.0
-3.5894 -0.3339 6.5084
6.7114 -2.9971 1.1528
1.3327 6.8811 -2.7421
Tm Pm Zn
2 6 2
Direct
0.6982 0.0665 0.7646
0.3018 0.9335 0.2354
0.7789 0.5886 0.7518
0.8368 0.0271 0.2482
0.7301 0.4474 0.1775
0.1632 0.9729 0.7518
0.2699 0.5526 0.8225
0.2211 0.4114 0.2482
0.6299 0.7608 0.3907
0.3701 0.2392 0.6093

PmTm2Zr, relaxed, DFT PBE-GGA; density of states at the Fermi level = 1.846 states/eV per atom; space-group type = Fm-3m (225); uncorrected energy = -21.4 eV per cell
1.0
-4.9995 -0.5456 -2.1590
-1.0605 -4.1232 -3.4391
-3.2302 -4.1238 1.5854
Pm Tm Zr
1 2 1
Direct
0.5000 0.5000 0.5000
0.2500 0.2500 0.2500
0.7500 0.7500 0.7500
0.0000 0.0000 0.0000

Pm14TmZr, relaxed, DFT PBE-GGA; density of states at the Fermi level = 1.443 states/eV per atom; space-group type = P4/mmm (123); uncorrected energy = -78.8 eV per cell
1.0
7.1572 0.9607 0.0000
-0.9599 7.1574 0.0000
0.0000 0.0000 10.1914
Pm Tm Zr
14 1 1
Direct
0.1202 0.8798 0.2426
0.6297 0.3703 0.7574
0.6297 0.8797 0.7572
0.8752 0.6252 0.5000
0.6297 0.3703 0.2426
0.6297 0.8797 0.2428
0.3748 0.1248 0.5000
0.8749 0.6249 0.0000
0.8748 0.1252 0.5000
0.1203 0.3703 0.2428
0.3751 0.1251 0.0000
0.1202 0.8798 0.7574
0.3752 0.6248 0.5000
0.1203 0.3703 0.7572
0.3749 0.6251 0.0000
0.8752 0.1248 0.0000

Pm4Tm6Zr, relaxed, DFT PBE-GGA; density of states at the Fermi level = 1.520 states/eV per atom; space-group type = P4/mnc (128); uncorrected energy = -105.7 eV per cell
1.0
8.6224 0.0000 0.0000
0.0000 8.6224 0.0000
0.0000 0.0000 9.1036
Tm Pm Zr
12 8 2
Direct
0.5000 0.5000 0.6736
0.1537 0.3436 0.5000
0.0000 0.0000 0.8264
0.6537 0.1564 0.0000
0.8436 0.6537 0.0000
0.3463 0.8436 0.0000
0.6564 0.1537 0.5000
0.0000 0.0000 0.1736
0.3436 0.8463 0.5000
0.8463 0.6564 0.5000
0.1564 0.3463 0.0000
0.5000 0.5000 0.3264
0.8556 0.3556 0.7500
0.1444 0.6444 0.7500
0.6444 0.8556 0.2500
0.1444 0.6444 0.2500
0.3556 0.1444 0.2500
0.3556 0.1444 0.7500
0.8556 0.3556 0.2500
0.6444 0.8556 0.7500
0.0000 0.0000 0.5000
0.5000 0.5000 0.0000

Pm5Tm12Zr3, relaxed, DFT PBE-GGA; density of states at the Fermi level = 1.925 states/eV per atom; space-group type = Ia-3d (230); uncorrected energy = -327.4 eV per cell
1.0
-4.6348 -7.2347 -13.1565
15.6667 1.2107 0.0710
-4.6664 -8.3297 12.4803
Tm Pm Zr
48 20 12
Direct
0.5581 0.9196 0.6560
0.7363 0.5979 0.1560
0.2636 0.8615 0.9196
0.0804 0.6385 0.7363
0.4419 0.0804 0.3440
0.1385 0.7363 0.5804
0.4196 0.6560 0.0581
0.3440 0.7637 0.4021
0.2636 0.4021 0.8440
0.4021 0.1385 0.5581
0.4021 0.2636 0.3440
0.0804 0.4419 0.8440
0.7363 0.1385 0.0804
0.2364 0.5804 0.6385
0.5581 0.6385 0.4021
0.3440 0.5804 0.4419
0.5979 0.7363 0.6560
0.5979 0.8615 0.4419
0.1385 0.4021 0.0581
0.3615 0.9196 0.7637
0.2364 0.6560 0.0979
0.9021 0.8440 0.7637
0.6385 0.5581 0.9021
0.6560 0.2364 0.5979
0.0979 0.9419 0.3615
0.7637 0.4196 0.3615
0.8615 0.2636 0.4196
0.1560 0.0979 0.7363
0.5804 0.3440 0.9419
0.4196 0.7637 0.8615
0.9196 0.3615 0.2636
0.8440 0.9419 0.0804
0.0581 0.1560 0.4196
0.1560 0.0581 0.9196
0.8440 0.9021 0.2636
0.0581 0.9021 0.1385
0.9419 0.0979 0.8615
0.6385 0.0804 0.2364
0.6560 0.4196 0.5581
0.4419 0.3615 0.5979
0.9196 0.5581 0.1560
0.3615 0.4419 0.0979
0.0979 0.1560 0.2364
0.9419 0.8440 0.5804
0.5804 0.2364 0.1385
0.8615 0.5979 0.9419
0.7637 0.3440 0.9021
0.9021 0.0581 0.6385
0.6250 0.8750 0.2500
0.0000 0.0000 0.5000
0.0000 0.5000 0.0000
0.7500 0.6250 0.3750
0.8750 0.2500 0.6250
0.6250 0.7500 0.8750
0.1250 0.3750 0.2500
0.5000 0.0000 0.0000
0.2500 0.8750 0.1250
0.1250 0.7500 0.3750
0.5000 0.0000 0.5000
0.3750 0.2500 0.1250
0.0000 0.0000 0.0000
0.7500 0.1250 0.8750
0.0000 0.5000 0.5000
0.3750 0.1250 0.7500
0.8750 0.6250 0.7500
0.2500 0.3750 0.6250
0.5000 0.5000 0.5000
0.5000 0.5000 0.0000
0.2500 0.1250 0.3750
0.8750 0.7500 0.1250
0.6250 0.2500 0.3750
0.3750 0.7500 0.6250
0.7500 0.3750 0.1250
0.8750 0.1250 0.2500
0.1250 0.2500 0.8750
0.6250 0.3750 0.7500
0.2500 0.6250 0.8750
0.1250 0.8750 0.7500
0.7500 0.8750 0.6250
0.3750 0.6250 0.2500

PmTm2Zr, relaxed, DFT PBE-GGA; density of states at the Fermi level = 1.618 states/eV per atom; space-group type = R3m (160); uncorrected energy = -22.0 eV per cell
1.0
-1.3268 -2.3642 -2.1392
1.2511 -0.3269 -3.2021
7.4264 -8.4071 1.8978
Tm Pm Zr
2 1 1
Direct
0.0773 0.0773 0.7682
0.2558 0.2558 0.2325
0.5005 0.5005 0.4985
0.6664 0.6664 0.0008

Pm2Tm12Zr, relaxed, DFT PBE-GGA; density of states at the Fermi level = 1.551 states/eV per atom; space-group type = C2/m (12); uncorrected energy = -139.6 eV per cell
1.0
0.4495 -1.8952 -6.2280
4.4192 -4.6587 -1.1619
-13.4774 -18.6459 7.6572
Tm Pm Zr
24 4 2
Direct
0.0023 0.9958 0.6715
0.1835 0.3165 0.5743
0.4977 0.5042 0.3285
0.3464 0.1536 0.1290
0.1642 0.8306 0.5556
0.9574 0.0506 0.9372
0.8436 0.6564 0.1243
0.3358 0.6694 0.4444
0.8915 0.1084 0.1888
0.5042 0.4977 0.6715
0.6085 0.3916 0.8112
0.6766 0.8234 0.5720
0.0506 0.9574 0.0628
0.8306 0.1642 0.4444
0.3165 0.1835 0.4257
0.6564 0.8436 0.8757
0.3916 0.6085 0.1888
0.5426 0.4494 0.0628
0.4494 0.5426 0.9372
0.1536 0.3464 0.8710
0.1084 0.8915 0.8112
0.9958 0.0023 0.3285
0.6694 0.3358 0.5556
0.8234 0.6766 0.4280
0.9572 0.5428 0.2738
0.5428 0.9572 0.7262
0.0426 0.4574 0.7225
0.4574 0.0426 0.2775
0.0255 0.4745 0.9999
0.4745 0.0255 0.0001

PmTm2Zr, relaxed, DFT PBE-GGA; density of states at the Fermi level = 1.208 states/eV per atom; space-group type = P4/mmm (123); uncorrected energy = -21.9 eV per cell
1.0
-2.1037 1.5998 4.0711
-2.2512 -4.2772 0.5176
3.7582 -1.6639 2.5958
Pm Zr Tm
1 1 2
Direct
0.5000 0.5000 0.5000
0.5000 0.0000 0.0000
0.0000 0.5000 0.0000
0.0000 0.0000 0.5000

Pm12Tm6Zr, relaxed, DFT PBE-GGA; density of states at the Fermi level = 1.199 states/eV per atom; space-group type = R-3 (148); uncorrected energy = -91.7 eV per cell
1.0
8.9228 -0.6082 -3.0432
-4.0673 7.9651 -3.0432
-0.4014 -0.6082 9.4189
Pm Tm Zr
12 6 1
Direct
0.4166 0.6259 0.9420
0.0580 0.5834 0.3741
0.7419 0.1024 0.1546
0.8976 0.8454 0.2581
0.1546 0.7419 0.1024
0.1024 0.1546 0.7419
0.2581 0.8976 0.8454
0.9420 0.4166 0.6259
0.8454 0.2581 0.8976
0.3741 0.0580 0.5834
0.6259 0.9420 0.4166
0.5834 0.3741 0.0580
0.3117 0.4639 0.2102
0.5361 0.7898 0.6883
0.6883 0.5361 0.7898
0.2102 0.3117 0.4639
0.4639 0.2102 0.3117
0.7898 0.6883 0.5361
0.0000 0.0000 0.0000

PmTm3Zr, relaxed, DFT PBE-GGA; density of states at the Fermi level = 1.747 states/eV per atom; space-group type = C2/m (12); uncorrected energy = -53.0 eV per cell
1.0
3.4910 0.0000 0.0000
-1.7455 6.2996 0.5065
0.0000 -0.0541 13.3923
Tm Zr Pm
6 2 2
Direct
0.2326 0.4652 0.7020
0.5704 0.1408 0.8772
0.9688 0.9377 0.6670
0.4296 0.8592 0.1228
0.7674 0.5348 0.2980
0.0312 0.0623 0.3330
0.6402 0.2804 0.5150
0.3598 0.7196 0.4850
0.1632 0.3265 0.0877
0.8368 0.6735 0.9123

Please write out number 7 again, unchanged.
Pm5Tm12Zr3, relaxed, DFT PBE-GGA; density of states at the Fermi level = 1.925 states/eV per atom; space-group type = Ia-3d (230); uncorrected energy = -327.4 eV per cell
1.0
-4.6348 -7.2347 -13.1565
15.6667 1.2107 0.0710
-4.6664 -8.3297 12.4803
Tm Pm Zr
48 20 12
Direct
0.5581 0.9196 0.6560
0.7363 0.5979 0.1560
0.2636 0.8615 0.9196
0.0804 0.6385 0.7363
0.4419 0.0804 0.3440
0.1385 0.7363 0.5804
0.4196 0.6560 0.0581
0.3440 0.7637 0.4021
0.2636 0.4021 0.8440
0.4021 0.1385 0.5581
0.4021 0.2636 0.3440
0.0804 0.4419 0.8440
0.7363 0.1385 0.0804
0.2364 0.5804 0.6385
0.5581 0.6385 0.4021
0.3440 0.5804 0.4419
0.5979 0.7363 0.6560
0.5979 0.8615 0.4419
0.1385 0.4021 0.0581
0.3615 0.9196 0.7637
0.2364 0.6560 0.0979
0.9021 0.8440 0.7637
0.6385 0.5581 0.9021
0.6560 0.2364 0.5979
0.0979 0.9419 0.3615
0.7637 0.4196 0.3615
0.8615 0.2636 0.4196
0.1560 0.0979 0.7363
0.5804 0.3440 0.9419
0.4196 0.7637 0.8615
0.9196 0.3615 0.2636
0.8440 0.9419 0.0804
0.0581 0.1560 0.4196
0.1560 0.0581 0.9196
0.8440 0.9021 0.2636
0.0581 0.9021 0.1385
0.9419 0.0979 0.8615
0.6385 0.0804 0.2364
0.6560 0.4196 0.5581
0.4419 0.3615 0.5979
0.9196 0.5581 0.1560
0.3615 0.4419 0.0979
0.0979 0.1560 0.2364
0.9419 0.8440 0.5804
0.5804 0.2364 0.1385
0.8615 0.5979 0.9419
0.7637 0.3440 0.9021
0.9021 0.0581 0.6385
0.6250 0.8750 0.2500
0.0000 0.0000 0.5000
0.0000 0.5000 0.0000
0.7500 0.6250 0.3750
0.8750 0.2500 0.6250
0.6250 0.7500 0.8750
0.1250 0.3750 0.2500
0.5000 0.0000 0.0000
0.2500 0.8750 0.1250
0.1250 0.7500 0.3750
0.5000 0.0000 0.5000
0.3750 0.2500 0.1250
0.0000 0.0000 0.0000
0.7500 0.1250 0.8750
0.0000 0.5000 0.5000
0.3750 0.1250 0.7500
0.8750 0.6250 0.7500
0.2500 0.3750 0.6250
0.5000 0.5000 0.5000
0.5000 0.5000 0.0000
0.2500 0.1250 0.3750
0.8750 0.7500 0.1250
0.6250 0.2500 0.3750
0.3750 0.7500 0.6250
0.7500 0.3750 0.1250
0.8750 0.1250 0.2500
0.1250 0.2500 0.8750
0.6250 0.3750 0.7500
0.2500 0.6250 0.8750
0.1250 0.8750 0.7500
0.7500 0.8750 0.6250
0.3750 0.6250 0.2500

The lowest density of states at the Fermi level belongs to which entry?
PmTm2Zn3

Among the records above, which one has the lowest uncorrected energy?
Pm5Tm12Zr3

Among the records above, which one has the lowest uncorrected energy?
Pm5Tm12Zr3